The following is a DFT calculation (PBE) of a geometry-optimized LiHfAgTe3 structure.

Structure (POSCAR):
```
LiHfAgTe3
1.0
4.106 0.000 0.000
0.000 8.354 0.414
0.000 -2.856 9.513
Te Ag Hf Li
6 2 2 2
direct
0.750 0.284 0.528
0.250 0.716 0.472
0.750 0.427 0.139
0.250 0.091 0.874
0.250 0.573 0.861
0.750 0.909 0.126
0.250 0.080 0.598
0.750 0.920 0.402
0.250 0.692 0.176
0.750 0.308 0.824
0.250 0.354 0.329
0.750 0.646 0.671
```

Calculated values
Calculated volume: 331 Å³/cell
Space-group type: P2_1/m, No. 11
ΔE_f (raw): -0.66 eV/atom
Total DFT energy (no corrections): -4.6804 eV/atom